1.
A relaxed structure of AlIn2SeF. Source: Alexandria, functional PBE.

Formation energy from raw total energies ... -0.06 eV/atom
Total DFT energy (no corrections) ... -2.98 eV per atom
Symmetry ... No. 123

```
data_AlIn2SeF
_chemical_formula_sum 'Al1 In2 Se1 F1'
_cell_length_a 5.667
_cell_length_b 4.110
_cell_length_c 5.667
_cell_angle_alpha 90.00
_cell_angle_beta 90.00
_cell_angle_gamma 90.00
_symmetry_space_group_name_H-M 'P 1'
_symmetry_Int_Tables_number 1
loop_
_symmetry_equiv_pos_as_xyz
'x,y,z'
loop_
_atom_site_label
_atom_site_type_symbol
_atom_site_fract_x
_atom_site_fract_y
_atom_site_fract_z
_atom_site_occupancy
In1 In 0.500 0.000 0.000 1
In2 In 0.000 0.000 0.500 1
Se1 Se 0.000 0.000 0.000 1
F1 F 0.000 0.500 0.000 1
Al1 Al 0.500 0.500 0.500 1
```

2.
A relaxed structure of Al2InSiF. Source: Alexandria, functional PBE.

Formation energy from raw total energies ... 0.17 eV/atom
Total DFT energy (no corrections) ... -3.34 eV per atom
Symmetry ... No. 123

```
data_Al2InSiF
_chemical_formula_sum 'Al2 In1 Si1 F1'
_cell_length_a 4.923
_cell_length_b 5.337
_cell_length_c 4.923
_cell_angle_alpha 90.00
_cell_angle_beta 90.00
_cell_angle_gamma 90.00
_symmetry_space_group_name_H-M 'P 1'
_symmetry_Int_Tables_number 1
loop_
_symmetry_equiv_pos_as_xyz
'x,y,z'
loop_
_atom_site_label
_atom_site_type_symbol
_atom_site_fract_x
_atom_site_fract_y
_atom_site_fract_z
_atom_site_occupancy
Al1 Al 0.500 0.000 0.000 1
Al2 Al 0.000 0.000 0.500 1
F1 F 0.500 0.500 0.500 1
In1 In 0.000 0.500 0.000 1
Si1 Si 0.000 0.000 0.000 1
```

3.
A relaxed structure of SrAlIn2F. Source: Alexandria, functional PBE.

Formation energy from raw total energies ... 0.61 eV/atom
Total DFT energy (no corrections) ... -1.94 eV per atom
Symmetry ... No. 123

```
data_SrAlIn2F
_chemical_formula_sum 'Sr1 Al1 In2 F1'
_cell_length_a 6.773
_cell_length_b 6.773
_cell_length_c 6.496
_cell_angle_alpha 90.00
_cell_angle_beta 90.00
_cell_angle_gamma 90.00
_symmetry_space_group_name_H-M 'P 1'
_symmetry_Int_Tables_number 1
loop_
_symmetry_equiv_pos_as_xyz
'x,y,z'
loop_
_atom_site_label
_atom_site_type_symbol
_atom_site_fract_x
_atom_site_fract_y
_atom_site_fract_z
_atom_site_occupancy
Al1 Al 0.000 0.000 0.500 1
In1 In 0.000 0.500 0.000 1
In2 In 0.500 0.000 0.000 1
F1 F 0.500 0.500 0.500 1
Sr1 Sr 0.000 0.000 0.000 1
```

4.
A relaxed structure of SrAlInF6. Source: Alexandria, functional PBE.

Formation energy from raw total energies ... -3.23 eV/atom
Total DFT energy (no corrections) ... -5.38 eV per atom
Symmetry ... No. 5

```
data_SrAlInF6
_chemical_formula_sum 'Sr1 Al1 In1 F6'
_cell_length_a 5.905
_cell_length_b 5.905
_cell_length_c 5.488
_cell_angle_alpha 90.05
_cell_angle_beta 89.95
_cell_angle_gamma 59.82
_symmetry_space_group_name_H-M 'P 1'
_symmetry_Int_Tables_number 1
loop_
_symmetry_equiv_pos_as_xyz
'x,y,z'
loop_
_atom_site_label
_atom_site_type_symbol
_atom_site_fract_x
_atom_site_fract_y
_atom_site_fract_z
_atom_site_occupancy
F1 F 0.341 0.072 0.691 1
F2 F 0.587 0.341 0.691 1
F3 F 0.072 0.341 0.309 1
F4 F 0.341 0.587 0.309 1
F5 F 0.071 0.588 0.690 1
F6 F 0.588 0.071 0.310 1
Sr1 Sr 0.666 0.666 0.500 1
Al1 Al 0.333 0.334 0.500 1
In1 In 0.999 0.999 0.000 1
```

5.
A relaxed structure of AlTlIn2F6. Source: Alexandria, functional PBE.

Formation energy from raw total energies ... -2.46 eV/atom
Total DFT energy (no corrections) ... -4.74 eV per atom
Symmetry ... No. 2

```
data_AlTlIn2F6
_chemical_formula_sum 'Al1 Tl1 In2 F6'
_cell_length_a 6.906
_cell_length_b 6.876
_cell_length_c 6.092
_cell_angle_alpha 53.69
_cell_angle_beta 53.88
_cell_angle_gamma 58.04
_symmetry_space_group_name_H-M 'P 1'
_symmetry_Int_Tables_number 1
loop_
_symmetry_equiv_pos_as_xyz
'x,y,z'
loop_
_atom_site_label
_atom_site_type_symbol
_atom_site_fract_x
_atom_site_fract_y
_atom_site_fract_z
_atom_site_occupancy
Tl1 Tl 0.816 0.816 0.552 1
F1 F 0.174 0.428 0.804 1
F2 F 0.458 0.205 0.299 1
F3 F 0.428 0.601 0.796 1
F4 F 0.606 0.160 0.814 1
F5 F 0.027 0.473 0.289 1
F6 F 0.204 0.031 0.307 1
In1 In 0.556 0.559 0.335 1
In2 In 0.076 0.074 0.768 1
Al1 Al 0.316 0.316 0.052 1
```

6.
A relaxed structure of AlTl2In2F6. Source: Alexandria, functional PBE.

Formation energy from raw total energies ... -2.19 eV/atom
Total DFT energy (no corrections) ... -4.48 eV per atom
Symmetry ... No. 12

```
data_AlTl2In2F6
_chemical_formula_sum 'Al1 Tl2 In2 F6'
_cell_length_a 7.645
_cell_length_b 7.645
_cell_length_c 5.490
_cell_angle_alpha 98.14
_cell_angle_beta 98.14
_cell_angle_gamma 132.96
_symmetry_space_group_name_H-M 'P 1'
_symmetry_Int_Tables_number 1
loop_
_symmetry_equiv_pos_as_xyz
'x,y,z'
loop_
_atom_site_label
_atom_site_type_symbol
_atom_site_fract_x
_atom_site_fract_y
_atom_site_fract_z
_atom_site_occupancy
F1 F 0.099 0.285 0.701 1
F2 F 0.901 0.715 0.299 1
F3 F 0.836 0.836 0.727 1
F4 F 0.715 0.901 0.299 1
F5 F 0.164 0.164 0.273 1
F6 F 0.285 0.099 0.701 1
Tl1 Tl 0.329 0.671 0.500 1
Tl2 Tl 0.671 0.329 0.500 1
In1 In 0.154 0.846 0.000 1
In2 In 0.846 0.154 0.000 1
Al1 Al 0.000 0.000 0.500 1
```